Entry from Alexandria via LeMat-Bulk: a relaxed structure of NaPaRh4S8 (GGA-PBE).

a = 7.357 Å, b = 7.357 Å, c = 7.272 Å
α = 59.61°, β = 59.61°, γ = 60.00°
Last column: magnetic moment on the atom in μB.
Sites, in units of the cell vectors:
S 0.250 0.250 0.706  0.02
S 0.250 0.794 0.706  0.02
Rh 0.502 0.002 0.495  0.10
S 0.738 0.236 0.288  0.07
S 0.738 0.738 0.288  0.07
S 0.764 0.764 0.707  0.02
Rh 0.002 0.002 0.495  0.10
Rh 0.627 0.627 0.120  0.95
Na 0.372 0.372 0.883  0.00
S 0.236 0.738 0.288  0.07
S 0.230 0.230 0.310  0.06
Pa 0.995 0.995 0.015  0.16
S 0.794 0.250 0.706  0.02
Rh 0.002 0.502 0.495  0.10

Output
As for the space group: R3m. The value obtained for the uncorrected formation energy is -0.716 eV per atom. The calculation puts the volume at 19.76 Å³ per atom. The total energy is -83.3 eV for the cell shown.

***

Entry from Alexandria via LeMat-Bulk: a relaxed structure of Na4Pa3RhS8 (GGA-PBE).

a = 7.405 Å, b = 8.224 Å, c = 7.948 Å
α = 118.85°, β = 117.77°, γ = 90.00°
Last column: magnetic moment on the atom in μB.
Sites, in units of the cell vectors:
S 0.760 0.705 0.972  -0.02
S 0.275 0.762 0.550  -0.02
Na 0.000 0.000 0.000  0.00
Pa 0.500 0.500 0.500  1.13
Na 0.500 0.000 0.000  0.00
Na 0.500 0.000 0.500  0.00
S 0.725 0.238 0.450  -0.02
Pa 0.500 0.500 0.000  0.93
Na 0.000 0.000 0.500  0.00
S 0.266 0.267 0.532  -0.03
S 0.213 0.705 0.972  -0.02
S 0.240 0.295 0.028  -0.02
S 0.734 0.733 0.468  -0.03
S 0.787 0.295 0.028  -0.02
Rh 0.000 0.500 0.000  0.05
Pa 0.000 0.500 0.500  1.13

Output
As for the space group: C2/m. The value obtained for the uncorrected formation energy is -1.279 eV per atom. The calculation puts the volume at 22.44 Å³ per atom. The total energy is -94.6 eV for the cell shown.

***

Entry from Alexandria via LeMat-Bulk: a relaxed structure of Na4Pa3RhSe8 (GGA-PBE).

a = 7.992 Å, b = 8.556 Å, c = 8.003 Å
α = 117.96°, β = 119.95°, γ = 90.00°
Last column: magnetic moment on the atom in μB.
Sites, in units of the cell vectors:
Se 0.253 0.258 0.505  -0.03
Pa 0.500 0.500 0.500  1.11
Na 0.000 0.000 0.000  0.00
Na 0.500 0.000 0.000  0.00
Se 0.747 0.742 0.495  -0.03
Se 0.766 0.274 0.008  -0.01
Se 0.765 0.274 0.530  -0.01
Na 0.000 0.000 0.500  0.00
Se 0.234 0.726 0.992  -0.01
Pa 0.500 0.500 0.000  1.10
Pa 0.000 0.500 0.500  1.11
Se 0.243 0.274 0.008  -0.01
Se 0.757 0.726 0.992  -0.01
Rh 0.000 0.500 0.000  0.29
Se 0.235 0.726 0.470  -0.01
Na 0.500 0.000 0.500  0.00

Output
As for the space group: C2/m. The value obtained for the uncorrected formation energy is -1.118 eV per atom. The calculation puts the volume at 24.92 Å³ per atom. The total energy is -86.9 eV for the cell shown.

***

Entry from Alexandria via LeMat-Bulk: a relaxed structure of Na2Pa2RhSe6 (GGA-PBE).

a = 6.799 Å, b = 6.799 Å, c = 7.617 Å
α = 98.22°, β = 98.22°, γ = 119.83°
Last column: magnetic moment on the atom in μB.
Sites, in units of the cell vectors:
Se 0.605 0.932 0.282  0.02
Se 0.068 0.395 0.718  0.02
Se 0.234 0.234 0.268  0.01
Pa 0.343 0.657 0.500  0.77
Se 0.766 0.766 0.732  0.01
Na 0.829 0.171 0.000  0.00
Se 0.932 0.605 0.282  0.02
Rh 0.000 0.000 0.500  0.94
Na 0.171 0.829 0.000  0.00
Pa 0.657 0.343 0.500  0.77
Se 0.395 0.068 0.718  0.02

Output
As for the space group: C2/m. The value obtained for the uncorrected formation energy is -1.088 eV per atom. The calculation puts the volume at 26.62 Å³ per atom. The total energy is -61.9 eV for the cell shown.

***

Entry from Alexandria via LeMat-Bulk: a relaxed structure of Na3PaRh2Se6 (GGA-PBE).

a = 6.577 Å, b = 6.577 Å, c = 7.497 Å
α = 98.47°, β = 98.47°, γ = 119.94°
Sites, in units of the cell vectors:
Se 0.568 0.929 0.790
Se 0.929 0.568 0.790
Se 0.071 0.432 0.210
Rh 0.667 0.333 0.000
Se 0.432 0.071 0.210
Se 0.708 0.708 0.209
Se 0.292 0.292 0.791
Na 0.841 0.159 0.500
Pa 0.000 0.000 0.000
Rh 0.333 0.667 0.000
Na 0.500 0.500 0.500
Na 0.159 0.841 0.500

Output
As for the space group: C2/m. The value obtained for the uncorrected formation energy is -0.921 eV per atom. The calculation puts the volume at 22.39 Å³ per atom. The total energy is -60.1 eV for the cell shown.

***

Entry from Alexandria via LeMat-Bulk: a relaxed structure of Na4Pa3Te8Rh (GGA-PBE).

a = 8.494 Å, b = 9.204 Å, c = 8.497 Å
α = 117.52°, β = 119.99°, γ = 90.00°
Last column: magnetic moment on the atom in μB.
Sites, in units of the cell vectors:
Na 0.000 0.000 0.000  0.00
Te 0.748 0.744 0.496  -0.03
Pa 0.000 0.500 0.500  1.18
Te 0.229 0.724 0.458  -0.02
Na 0.500 0.000 0.000  0.00
Na 0.500 0.000 0.500  0.00
Te 0.766 0.724 0.995  -0.02
Te 0.234 0.276 0.005  -0.02
Pa 0.500 0.500 0.000  1.18
Pa 0.500 0.500 0.500  1.18
Te 0.229 0.724 0.995  -0.02
Te 0.771 0.276 0.005  -0.02
Na 0.000 0.000 0.500  0.00
Te 0.771 0.276 0.542  -0.02
Te 0.252 0.256 0.504  -0.03
Rh 0.000 0.500 0.000  0.07

Output
As for the space group: R-3m. The value obtained for the uncorrected formation energy is -0.753 eV per atom. The calculation puts the volume at 30.41 Å³ per atom. The total energy is -78.3 eV for the cell shown.

***

Copy entry 6 word for word.
Entry from Alexandria via LeMat-Bulk: a relaxed structure of Na4Pa3Te8Rh (GGA-PBE).

a = 8.494 Å, b = 9.204 Å, c = 8.497 Å
α = 117.52°, β = 119.99°, γ = 90.00°
Last column: magnetic moment on the atom in μB.
Sites, in units of the cell vectors:
Na 0.000 0.000 0.000  0.00
Te 0.748 0.744 0.496  -0.03
Pa 0.000 0.500 0.500  1.18
Te 0.229 0.724 0.458  -0.02
Na 0.500 0.000 0.000  0.00
Na 0.500 0.000 0.500  0.00
Te 0.766 0.724 0.995  -0.02
Te 0.234 0.276 0.005  -0.02
Pa 0.500 0.500 0.000  1.18
Pa 0.500 0.500 0.500  1.18
Te 0.229 0.724 0.995  -0.02
Te 0.771 0.276 0.005  -0.02
Na 0.000 0.000 0.500  0.00
Te 0.771 0.276 0.542  -0.02
Te 0.252 0.256 0.504  -0.03
Rh 0.000 0.500 0.000  0.07

Output
As for the space group: R-3m. The value obtained for the uncorrected formation energy is -0.753 eV per atom. The calculation puts the volume at 30.41 Å³ per atom. The total energy is -78.3 eV for the cell shown.

***

- Which of these has the lowest volume?
  NaPaRh4S8

***

- Number 1 is which compound?
  NaPaRh4S8